[1]
Computed, not measured: crystalline Nb2Co21P6 at its relaxed geometry at the PBE-GGA level of DFT.

Results
Size of the total moment in μB per formula unit: 16.64
ΔH_f (0 K) in eV per atom: -0.37

Lattice parameters (Å, degrees): 7.7675 7.7675 7.7675 60.00 60.00 60.00
Last column: nearest neighbours and their distance in Å.
Fractional positions:
Co1 0.8615 0.3795 0.3795  3 P 2.21, 1 Nb 2.46
Co2 0.0000 0.0000 0.6553  2 P 2.19, 1 Co 2.41
Nb1 0.7500 0.7500 0.7500  4 Co 2.46
Co3 0.3795 0.3795 0.8615  3 P 2.21, 1 Nb 2.46
P1 0.2719 0.2719 0.7281  8 Co 2.19-2.21
P2 0.2719 0.7281 0.7281  8 Co 2.19-2.21
Co4 0.6205 0.6205 0.1385  3 P 2.21, 1 Nb 2.46
Co5 0.3795 0.3795 0.3795  3 P 2.21, 1 Nb 2.46
Co6 0.0000 0.6553 0.3447  2 P 2.19, 1 Co 2.41
Co7 0.3447 0.0000 0.6553  2 P 2.19, 1 Co 2.41
Co8 0.0000 0.6553 0.0000  2 P 2.19, 1 Co 2.41
Co9 0.1385 0.6205 0.6205  3 P 2.21, 1 Nb 2.46
Co10 0.6553 0.3447 0.0000  2 P 2.19, 1 Co 2.41
P3 0.7281 0.2719 0.2719  8 Co 2.19-2.21
Co11 0.6205 0.6205 0.6205  3 P 2.21, 1 Nb 2.46
Co12 0.3447 0.0000 0.0000  2 P 2.19, 1 Co 2.41
P4 0.7281 0.7281 0.2719  8 Co 2.19-2.21
Co13 0.6205 0.1385 0.6205  3 P 2.21, 1 Nb 2.46
Co14 0.0000 0.0000 0.3447  2 P 2.19, 1 Co 2.41
Nb2 0.2500 0.2500 0.2500  4 Co 2.46
Co15 0.6553 0.0000 0.0000  2 P 2.19, 1 Co 2.41
P5 0.2719 0.7281 0.2719  8 Co 2.19-2.21
Co16 0.0000 0.3447 0.6553  2 P 2.19, 1 Co 2.41
Co17 0.6553 0.0000 0.3447  2 P 2.19, 1 Co 2.41
Co18 0.0000 0.3447 0.0000  2 P 2.19, 1 Co 2.41
Co19 0.0000 0.0000 0.0000  12 Co 2.68, 6 P 2.99
Co20 0.3447 0.6553 0.0000  2 P 2.19, 1 Co 2.41
Co21 0.3795 0.8615 0.3795  3 P 2.21, 1 Nb 2.46
P6 0.7281 0.2719 0.7281  8 Co 2.19-2.21


[2]
Computed, not measured: crystalline NbCoP2 at its relaxed geometry at the PBE-GGA level of DFT.

Results
Size of the total moment in μB per formula unit: 0.00
ΔH_f (0 K) in eV per atom: -0.28

Lattice parameters (Å, degrees): 4.2182 4.2182 4.2182 60.00 60.00 60.00
Last column: nearest neighbours and their distance in Å.
Fractional positions:
P1 0.2500 0.2500 0.2500  4 Nb 2.58, 4 Co 2.58
Nb1 0.5000 0.5000 0.5000  8 P 2.58
P2 0.7500 0.7500 0.7500  4 Nb 2.58, 4 Co 2.58
Co1 0.0000 0.0000 0.0000  8 P 2.58


[3]
Computed, not measured: crystalline Nb3CoP2 at its relaxed geometry at the PBE-GGA level of DFT.

Results
Size of the total moment in μB per formula unit: 0.00
ΔH_f (0 K) in eV per atom: -0.72

Lattice parameters (Å, degrees): 3.5799 9.8684 10.1055 90.00 90.00 90.00
Last column: nearest neighbours and their distance in Å.
Fractional positions:
Nb1 0.7500 0.9274 0.1226  3 Co 2.57-2.61, 5 P 2.64-2.77
P1 0.2500 0.8085 0.9701  2 Co 2.16
Co1 0.7500 0.6193 0.3725  3 P 2.16-2.17
P2 0.7500 0.0005 0.6920  1 Co 2.17
P3 0.7500 0.3085 0.5299  2 Co 2.16
Nb2 0.2500 0.4274 0.3774  3 Co 2.57-2.61, 5 P 2.64-2.77
P4 0.2500 0.6915 0.4701  2 Co 2.16
P5 0.7500 0.4995 0.1920  1 Co 2.17
Nb3 0.7500 0.6160 0.9491  5 P 2.56-2.71, 1 Co 2.72
P6 0.2500 0.9995 0.3080  1 Co 2.17
Nb4 0.7500 0.2890 0.7944  4 P 2.57-2.75, 2 Co 2.62
Nb5 0.2500 0.0726 0.8774  3 Co 2.57-2.61, 5 P 2.64-2.77
Nb6 0.2500 0.1160 0.5509  5 P 2.56-2.71, 1 Co 2.72
P7 0.7500 0.1915 0.0299  2 Co 2.16
Nb7 0.2500 0.7110 0.2056  4 P 2.57-2.75, 2 Co 2.62
Nb8 0.7500 0.2110 0.2944  4 P 2.57-2.75, 2 Co 2.62
Nb9 0.7500 0.5726 0.6226  3 Co 2.57-2.61, 5 P 2.64-2.77
Nb10 0.7500 0.8840 0.4491  5 P 2.56-2.71, 1 Co 2.72
Co2 0.7500 0.8807 0.8725  3 P 2.16-2.17
P8 0.2500 0.5005 0.8080  1 Co 2.17
Nb11 0.2500 0.3840 0.0509  5 P 2.56-2.71, 1 Co 2.72
Co3 0.2500 0.3807 0.6275  3 P 2.16-2.17
Co4 0.2500 0.1193 0.1275  3 P 2.16-2.17
Nb12 0.2500 0.7890 0.7056  4 P 2.57-2.75, 2 Co 2.62


[4]
Computed, not measured: crystalline Pa2NbCo4P3 at its relaxed geometry at the PBE-GGA level of DFT.

Results
Size of the total moment in μB per formula unit: 1.50
ΔH_f (0 K) in eV per atom: -0.86

Lattice parameters (Å, degrees): 3.8480 3.8480 9.9369 90.00 90.00 90.00
Last column: nearest neighbours and their distance in Å.
Fractional positions:
Co1 0.5000 0.0000 0.6523  3 P 2.24-2.45, 2 Nb 2.45
Pa1 0.5000 0.0000 0.2362  8 Co 2.94-3.03, 6 P 2.95-3.25, 2 Nb 3.25
P1 0.0000 0.5000 0.1227  5 Co 2.24-2.28
P2 0.5000 0.0000 0.8773  5 Co 2.24-2.28
P3 0.0000 0.0000 0.5000  4 Co 2.45, 4 Nb 2.72
Pa2 0.0000 0.5000 0.7638  8 Co 2.94-3.03, 6 P 2.95-3.25, 2 Nb 3.25
Nb1 0.5000 0.5000 0.5000  4 Co 2.45, 4 P 2.72
Co2 0.0000 0.5000 0.3477  3 P 2.24-2.45, 2 Nb 2.45
Co3 0.5000 0.5000 0.0000  4 P 2.28
Co4 0.0000 0.0000 0.0000  4 P 2.28


[5]
Computed, not measured: crystalline Nb2CoPPb at its relaxed geometry at the PBE-GGA level of DFT.

Results
Size of the total moment in μB per formula unit: 0.00
ΔH_f (0 K) in eV per atom: 0.39

Lattice parameters (Å, degrees): 4.8598 4.0009 4.8598 90.00 90.00 90.00
Last column: nearest neighbours and their distance in Å.
Fractional positions:
P1 0.0000 0.5000 0.0000  2 Co 2.00
Nb1 0.5000 0.0000 0.0000  2 Co 2.43
Co1 0.0000 0.0000 0.0000  2 P 2.00
Nb2 0.0000 0.0000 0.5000  2 Co 2.43
Pb1 0.5000 0.5000 0.5000  8 Nb 3.15, 4 P 3.44


[6]
Computed, not measured: crystalline ScNb2CoP at its relaxed geometry at the PBE-GGA level of DFT.

Results
Size of the total moment in μB per formula unit: 0.00
ΔH_f (0 K) in eV per atom: 0.37

Lattice parameters (Å, degrees): 4.5901 4.7020 4.5901 90.00 90.00 90.00
Last column: nearest neighbours and their distance in Å.
Fractional positions:
Sc1 0.0000 0.5000 0.0000  2 P 2.35
Co1 0.5000 0.5000 0.5000  4 Sc 3.25, 8 Nb 3.29
P1 0.0000 0.0000 0.0000  4 Nb 2.30, 2 Sc 2.35
Nb1 0.0000 0.0000 0.5000  2 P 2.30
Nb2 0.5000 0.0000 0.0000  2 P 2.30


[7]
Computed, not measured: crystalline SrNbCoP2 at its relaxed geometry at the PBE-GGA level of DFT.

Results
Size of the total moment in μB per formula unit: 0.47
ΔH_f (0 K) in eV per atom: -0.78

Lattice parameters (Å, degrees): 3.9037 3.9037 6.8711 106.50 106.50 90.00
Last column: nearest neighbours and their distance in Å.
Fractional positions:
Sr1 0.0000 0.0000 0.0000  8 P 3.25
Co1 0.7500 0.2500 0.5000  4 P 2.42
P1 0.6360 0.6360 0.2719  2 Nb 2.42, 2 Co 2.42
Nb1 0.2500 0.7500 0.5000  4 P 2.42
P2 0.3640 0.3640 0.7281  2 Nb 2.42, 2 Co 2.42


[8]
Computed, not measured: crystalline Th2NbCo4P3 at its relaxed geometry at the PBE-GGA level of DFT.

Results
Size of the total moment in μB per formula unit: 1.09
ΔH_f (0 K) in eV per atom: -0.89

Lattice parameters (Å, degrees): 3.9782 3.9782 9.7742 90.00 90.00 90.00
Last column: nearest neighbours and their distance in Å.
Fractional positions:
Th1 0.5000 0.0000 0.2368  6 P 3.02-3.25, 8 Co 3.05-3.07, 2 Nb 3.25
Co1 0.5000 0.5000 0.0000  4 P 2.34
Nb1 0.5000 0.5000 0.5000  4 Co 2.40
P1 0.5000 0.0000 0.8747  5 Co 2.33-2.34
Co2 0.0000 0.0000 0.0000  4 P 2.34
P2 0.0000 0.0000 0.5000  4 Co 2.40
Co3 0.5000 0.0000 0.6368  3 P 2.33-2.40, 2 Nb 2.40
Co4 0.0000 0.5000 0.3632  3 P 2.33-2.40, 2 Nb 2.40
P3 0.0000 0.5000 0.1253  5 Co 2.33-2.34
Th2 0.0000 0.5000 0.7632  6 P 3.02-3.25, 8 Co 3.05-3.07, 2 Nb 3.25


DFT total energy readings, ordered: -7.3317; -7.2775; -8.7460; -8.2271; -6.8844; -7.4248; -6.7188; -7.8494 eV/atom